[1]
Here is a geometry-optimized NbNi2Pt3 structure from the Alexandria database. Energies are from PBE.

Calculated values
SG	Cmcm
formation enthalpy at 0 K	-171	kJ/mol of formula units
relative energy among the computed polymorphs	0	meV per atom

a b c (Å): 7.162 7.162 4.849
angles (deg): 90.00 90.00 134.49
Element x y z (fractional)
Nb  0.144  0.856  0.750
Nb  0.856  0.144  0.250
Ni  0.244  0.244  0.000
Ni  0.244  0.244  0.500
Ni  0.756  0.756  0.000
Ni  0.756  0.756  0.500
Pt  0.071  0.421  0.750
Pt  0.360  0.640  0.250
Pt  0.421  0.071  0.250
Pt  0.579  0.929  0.750
Pt  0.640  0.360  0.750
Pt  0.929  0.579  0.250



[2]
Here is a geometry-optimized NdSm4DyS8 structure from the Alexandria database. Energies are from PBE.

Calculated values
SG	R3m
formation energy without anion corrections	-1.917	eV/atom

a b c (Å): 8.233 8.233 8.233
angles (deg): 59.91 59.91 59.91
Element x y z (fractional)
Nd  0.000  0.000  0.000
Sm  0.000  0.000  0.503
Sm  0.000  0.503  0.000
Sm  0.376  0.376  0.376
Sm  0.503  0.000  0.000
Dy  0.626  0.626  0.626
S  0.237  0.753  0.753
S  0.243  0.243  0.243
S  0.245  0.245  0.773
S  0.245  0.773  0.245
S  0.753  0.237  0.753
S  0.753  0.753  0.237
S  0.756  0.756  0.756
S  0.773  0.245  0.245



[3]
Here is a geometry-optimized SiOs2Br structure from the Alexandria database. Energies are from PBE.

Calculated values
SG	Immm
formation energy without anion corrections	0.826	eV/atom
relative energy among the computed polymorphs	359	meV per atom

a b c (Å): 5.521 5.521 5.521
angles (deg): 149.63 130.93 58.81
Element x y z (fractional)
Si  0.000  0.000  0.000
Os  0.205  0.705  0.500
Os  0.795  0.295  0.500
Br  0.500  0.500  0.000



[4]
Here is a geometry-optimized Pa3AlSe6 structure from the Alexandria database. Energies are from PBE.

Calculated values
SG	Cmc2_1
formation energy without anion corrections	-1.102	eV/atom

a b c (Å): 8.716 8.716 6.919
angles (deg): 90.00 90.00 100.63
Element x y z (fractional)
Pa  0.099  0.901  0.500
Pa  0.229  0.419  0.383
Pa  0.419  0.229  0.883
Pa  0.581  0.771  0.383
Pa  0.771  0.581  0.883
Pa  0.901  0.099  0.000
Al  0.328  0.672  0.880
Al  0.672  0.328  0.380
Se  0.074  0.597  0.690
Se  0.120  0.203  0.691
Se  0.203  0.120  0.191
Se  0.268  0.732  0.227
Se  0.403  0.926  0.690
Se  0.483  0.517  0.651
Se  0.517  0.483  0.151
Se  0.597  0.074  0.190
Se  0.732  0.268  0.727
Se  0.797  0.880  0.691
Se  0.880  0.797  0.191
Se  0.926  0.403  0.190



[5]
Here is a geometry-optimized CaDy2Hg structure from the Alexandria database. Energies are from PBE.

Calculated values
SG	P4/mmm
formation enthalpy at 0 K	-43	kJ/mol of formula units
relative energy among the computed polymorphs	35	meV per atom

a b c (Å): 4.928 4.928 4.712
angles (deg): 90.00 90.00 90.00
Element x y z (fractional)
Ca  0.000  0.000  0.000
Dy  0.000  0.500  0.500
Dy  0.500  0.000  0.500
Hg  0.500  0.500  0.000



[6]
Here is a geometry-optimized RbIrS2N structure from the Alexandria database. Energies are from PBE.

Calculated values
SG	P4/mmm
formation energy without anion corrections	0.157	eV/atom
relative energy among the computed polymorphs	0	meV per atom

a b c (Å): 5.149 5.149 3.720
angles (deg): 90.00 90.00 90.00
Element x y z (fractional)
Rb  0.000  0.000  0.000
Ir  0.500  0.500  0.500
S  0.000  0.500  0.500
S  0.500  0.000  0.500
N  0.500  0.500  0.000



[7]
Here is a geometry-optimized KRb2Ge2I7 structure from the Alexandria database. Energies are from PBE.

Calculated values
SG	C2/m
formation energy without anion corrections	-0.877	eV/atom

a b c (Å): 5.983 5.983 15.700
angles (deg): 100.91 100.91 88.79
Element x y z (fractional)
K  0.000  0.000  0.000
Rb  0.166  0.166  0.358
Rb  0.834  0.834  0.642
Ge  0.381  0.381  0.797
Ge  0.619  0.619  0.203
I  0.086  0.584  0.193
I  0.293  0.293  0.602
I  0.416  0.914  0.807
I  0.500  0.500  0.000
I  0.584  0.086  0.193
I  0.707  0.707  0.398
I  0.914  0.416  0.807



[8]
Here is a geometry-optimized Li2PuSb2Pd2 structure from the Alexandria database. Energies are from PBE.

Calculated values
SG	R-3m
formation energy without anion corrections	-0.629	eV/atom

a b c (Å): 8.387 8.387 8.387
angles (deg): 31.17 31.17 31.17
Element x y z (fractional)
Li  0.140  0.140  0.140
Li  0.860  0.860  0.860
Pu  0.000  0.000  0.000
Sb  0.256  0.256  0.256
Sb  0.744  0.744  0.744
Pd  0.433  0.433  0.433
Pd  0.567  0.567  0.567



[9]
Here is a geometry-optimized SiIr2S structure from the Alexandria database. Energies are from PBE.

Calculated values
SG	Fm-3m
formation energy without anion corrections	0.234	eV/atom
relative energy among the computed polymorphs	336	meV per atom

a b c (Å): 4.290 4.290 4.290
angles (deg): 60.00 60.00 60.00
Element x y z (fractional)
Si  0.000  0.000  0.000
Ir  0.250  0.250  0.250
Ir  0.750  0.750  0.750
S  0.500  0.500  0.500



[10]
Here is a geometry-optimized TcPdO2 structure from the Alexandria database. Energies are from PBE.

Calculated values
SG	R-3m
formation energy without anion corrections	-0.818	eV/atom
relative energy among the computed polymorphs	0	meV per atom

a b c (Å): 6.928 6.928 6.928
angles (deg): 23.15 23.15 23.15
Element x y z (fractional)
Tc  0.000  0.000  0.000
Pd  0.500  0.500  0.500
O  0.399  0.399  0.399
O  0.601  0.601  0.601



[11]
Here is a geometry-optimized Li3Cd2Sn4 structure from the Alexandria database. Energies are from PBE.

Calculated values
SG	P-1
formation enthalpy at 0 K	-154	kJ/mol of formula units

a b c (Å): 4.455 5.588 9.293
angles (deg): 96.50 102.94 112.48
Element x y z (fractional)
Li  0.000  0.000  0.000
Li  0.104  0.769  0.439
Li  0.896  0.231  0.561
Cd  0.438  0.118  0.761
Cd  0.562  0.882  0.239
Sn  0.226  0.562  0.886
Sn  0.320  0.306  0.343
Sn  0.680  0.694  0.657
Sn  0.774  0.438  0.114



[12]
Here is a geometry-optimized PPb2W structure from the Alexandria database. Energies are from PBE.

Calculated values
SG	Pmmm
formation enthalpy at 0 K	413	kJ/mol of formula units

a b c (Å): 3.051 4.766 5.971
angles (deg): 90.00 90.00 90.00
Element x y z (fractional)
P  0.000  0.000  0.000
Pb  0.500  0.500  0.251
Pb  0.500  0.500  0.749
W  0.000  0.000  0.500



[13]
Here is a geometry-optimized TbCeCuSn structure from the Alexandria database. Energies are from PBE.

Calculated values
SG	F-43m
formation enthalpy at 0 K	-131	kJ/mol of formula units

a b c (Å): 5.232 5.232 5.232
angles (deg): 60.00 60.00 60.00
Element x y z (fractional)
Tb  0.000  0.000  0.000
Ce  0.500  0.500  0.500
Cu  0.750  0.750  0.750
Sn  0.250  0.250  0.250